[1]
# BaSN2F, relaxed, DFT GGA-PBE
data_BaSN2F
_cell_length_a 3.681
_cell_length_b 3.681
_cell_length_c 5.243
_cell_angle_alpha 90.00
_cell_angle_beta 90.00
_cell_angle_gamma 90.00
_symmetry_space_group_name_H-M 'P 1'
_symmetry_Int_Tables_number 1
_symmetry_space_group_name_Hall 'P 1'
loop_
_atom_site_label
_atom_site_fract_x
_atom_site_fract_y
_atom_site_fract_z
_atom_site_occupancy
S1 0.000 0.000 0.000 1
F1 0.000 0.000 0.500 1
N1 0.500 0.000 0.000 1
N2 0.000 0.500 0.000 1
Ba1 0.500 0.500 0.500 1
# - Density of states at the Fermi level: 0.29 states/eV/atom
# - SG: P4/mmm
# - Energy relative to the lowest polymorph listed for this composition: 0.00 eV per formula unit
# - Formation energy from raw total energies: -0.249 eV per atom
# - M_tot: 0.0 μB per formula unit

---

[2]
# BaSN2F, relaxed, DFT GGA-PBE
data_BaSN2F
_cell_length_a 4.866
_cell_length_b 4.866
_cell_length_c 3.977
_cell_angle_alpha 90.00
_cell_angle_beta 90.00
_cell_angle_gamma 90.00
_symmetry_space_group_name_H-M 'P 1'
_symmetry_Int_Tables_number 1
_symmetry_space_group_name_Hall 'P 1'
loop_
_atom_site_label
_atom_site_fract_x
_atom_site_fract_y
_atom_site_fract_z
_atom_site_occupancy
N1 0.500 0.000 0.000 1
N2 0.000 0.500 0.000 1
S1 0.000 0.000 0.500 1
F1 0.000 0.000 0.000 1
Ba1 0.500 0.500 0.500 1
# - Density of states at the Fermi level: 0.38 states/eV/atom
# - SG: P4/mmm
# - Energy relative to the lowest polymorph listed for this composition: 6.03 eV per formula unit
# - Formation energy from raw total energies: 0.956 eV per atom
# - M_tot: 5.0 μB per formula unit

---

[3]
# BaSN2F, relaxed, DFT GGA-PBE
data_BaSN2F
_cell_length_a 5.622
_cell_length_b 5.622
_cell_length_c 4.957
_cell_angle_alpha 90.00
_cell_angle_beta 90.00
_cell_angle_gamma 90.00
_symmetry_space_group_name_H-M 'P 1'
_symmetry_Int_Tables_number 1
_symmetry_space_group_name_Hall 'P 1'
loop_
_atom_site_label
_atom_site_fract_x
_atom_site_fract_y
_atom_site_fract_z
_atom_site_occupancy
Ba1 0.000 0.000 0.000 1
F1 0.000 0.000 0.500 1
S1 0.500 0.500 0.500 1
N1 0.500 0.000 0.000 1
N2 0.000 0.500 0.000 1
# - Density of states at the Fermi level: 0.75 states/eV/atom
# - SG: P4/mmm
# - Energy relative to the lowest polymorph listed for this composition: 6.25 eV per formula unit
# - Formation energy from raw total energies: 1.000 eV per atom
# - M_tot: 3.2 μB per formula unit

---

[4]
# BaS2NF, relaxed, DFT GGA-PBE
data_BaS2NF
_cell_length_a 4.353
_cell_length_b 4.353
_cell_length_c 5.252
_cell_angle_alpha 90.00
_cell_angle_beta 90.00
_cell_angle_gamma 90.00
_symmetry_space_group_name_H-M 'P 1'
_symmetry_Int_Tables_number 1
_symmetry_space_group_name_Hall 'P 1'
loop_
_atom_site_label
_atom_site_fract_x
_atom_site_fract_y
_atom_site_fract_z
_atom_site_occupancy
Ba1 0.500 0.500 0.500 1
N1 0.000 0.000 0.500 1
S1 0.500 0.000 0.000 1
S2 0.000 0.500 0.000 1
F1 0.000 0.000 0.000 1
# - Density of states at the Fermi level: 0.40 states/eV/atom
# - SG: P4/mmm
# - Energy relative to the lowest polymorph listed for this composition: 0.00 eV per formula unit
# - Formation energy from raw total energies: 0.242 eV per atom
# - M_tot: 2.3 μB per formula unit

---

[5]
# BaSbNF2, relaxed, DFT GGA-PBE
data_BaSbNF2
_cell_length_a 4.694
_cell_length_b 4.694
_cell_length_c 4.347
_cell_angle_alpha 90.00
_cell_angle_beta 90.00
_cell_angle_gamma 90.00
_symmetry_space_group_name_H-M 'P 1'
_symmetry_Int_Tables_number 1
_symmetry_space_group_name_Hall 'P 1'
loop_
_atom_site_label
_atom_site_fract_x
_atom_site_fract_y
_atom_site_fract_z
_atom_site_occupancy
Ba1 0.500 0.500 0.500 1
F1 0.000 0.500 0.000 1
F2 0.500 0.000 0.000 1
N1 0.000 0.000 0.500 1
Sb1 0.000 0.000 0.000 1
# - Density of states at the Fermi level: 0.07 states/eV/atom
# - SG: P4/mmm
# - Energy relative to the lowest polymorph listed for this composition: 0.00 eV per formula unit
# - Formation energy from raw total energies: -1.478 eV per atom
# - M_tot: 0.0 μB per formula unit

---

[6]
# BaSbNF2, relaxed, DFT GGA-PBE
data_BaSbNF2
_cell_length_a 4.865
_cell_length_b 4.865
_cell_length_c 5.922
_cell_angle_alpha 90.00
_cell_angle_beta 90.00
_cell_angle_gamma 90.00
_symmetry_space_group_name_H-M 'P 1'
_symmetry_Int_Tables_number 1
_symmetry_space_group_name_Hall 'P 1'
loop_
_atom_site_label
_atom_site_fract_x
_atom_site_fract_y
_atom_site_fract_z
_atom_site_occupancy
Sb1 0.500 0.500 0.500 1
F1 0.000 0.500 0.000 1
F2 0.500 0.000 0.000 1
Ba1 0.000 0.000 0.000 1
N1 0.000 0.000 0.500 1
# - Density of states at the Fermi level: 0.25 states/eV/atom
# - SG: P4/mmm
# - Energy relative to the lowest polymorph listed for this composition: 3.80 eV per formula unit
# - Formation energy from raw total energies: -0.718 eV per atom
# - M_tot: 0.0 μB per formula unit

---

no.,density (g/cm3)
1,5.1
2,3.8
3,2.3
4,3.9
5,5.4
6,3.7